Material: ErAl4Cu2Ir
Method: DFT, PBE
State: relaxed

## Properties
For the density of states at the Fermi level, the calculation gives 2.7 states/eV/cell. The formation energy comes out at -435 meV per atom. As for the crystal system: trigonal.

Cell: 9.1292 9.1292 9.1292 Å, 26.45 26.45 26.45°
Fractional coordinates of all 8 atoms:
Er  0.0000  0.0000  0.0000
Al  0.1311  0.1311  0.1311
Al  0.4033  0.4033  0.4033
Al  0.5967  0.5967  0.5967
Al  0.8689  0.8689  0.8689
Cu  0.2398  0.2398  0.2398
Cu  0.7602  0.7602  0.7602
Ir  0.5000  0.5000  0.5000